VASP calculation (PBE) on an optimized crystal structure of Li2PdAu2.

Structure (extended XYZ):
```
10
Lattice="-3.0461 -3.1302 -0.7452 -0.0191 -3.6783 2.3566 -4.4473 -1.2967 10.4574" Properties=species:S:1:pos:R:3 pbc="T T T"
Li -5.1925 -5.2519 10.3431
Li -4.4788 -4.3260 3.5644
Li -2.3201 -2.8532 1.7256
Li -3.0337 -3.7792 8.5043
Pd -1.8854 -3.8631 4.1960
Pd -5.6272 -4.2421 7.8727
Au -3.6184 -2.6579 6.1961
Au -4.5858 -2.6920 10.2954
Au -3.8942 -5.4473 5.8726
Au -2.9268 -5.4131 1.7733
```

Energy of formation from the pure elements: -436.4 meV/atom